1.
12
Lattice="4.653 0.000 0.000 0.000 9.243 0.367 -2.326 -2.627 9.737" Properties=species:S:1:pos:R:3 comment="La6SbTe3Pb2 | Alexandria via LeMat-Bulk | PBE-GGA | relaxed" crystal_system=monoclinic sg="C2/m, No. 12" vol_a3_per_atom=35.27 final_energy_ev_per_cell=-65.47 pbc="T T T"
La 2.326 4.357 9.979
La 0.000 2.258 0.126
La 0.000 6.683 6.862
La 2.326 4.468 3.483
La 0.000 2.147 6.621
La 2.326 -0.067 3.242
Te 2.326 -0.210 6.563
Te 2.326 4.621 0.184
Te 0.000 6.826 3.541
Sb 2.326 0.000 0.000
Pb 2.326 4.425 6.746
Pb 0.000 2.190 3.359

2.
4
Lattice="-3.482 0.357 2.957 -2.719 -2.239 -2.931 1.724 -5.644 2.712" Properties=species:S:1:pos:R:3 comment="LaThSbPb | Alexandria via LeMat-Bulk | PBE-GGA | relaxed" crystal_system=tetragonal sg="P4/mmm, No. 123" vol_a3_per_atom=34.09 final_energy_ev_per_cell=-23.18 pbc="T T T"
Pb 0.000 0.000 0.000
La -3.101 -0.941 0.013
Sb -2.238 -3.763 1.369
Th 0.862 -2.822 1.356

| no. | uncorrected formation energy (eV per atom) |
| --- | --- |
| 1 | -1.245 |
| 2 | -0.752 |